KTaCl2: relaxed, PBE-GGA.

The calculation puts the formation energy from raw total energies at -0.12 eV/atom.

It has space group Cmm2 (No. 35), with a = 3.567 Å, b = 5.181 Å, c = 10.401 Å, α = 90.00°, β = 90.00° and γ = 90.00°. The inequivalent atoms are K at (0.000, 0.000, 0.000), Ta at (0.000, 0.500, 0.325), Cl at (0.000, 0.000, 0.496) and Cl at (0.000, 0.500, 0.797).

CuPbW2: relaxed, PBE-GGA.

As for the formation energy: 977 meV/atom.

It has space group Cmmm (No. 65), with a = 3.625 Å, b = 4.489 Å, c = 8.573 Å, α = 90.00°, β = 90.00° and γ = 90.00°. The inequivalent atoms are Cu at (0.000, 0.000, 0.000), Pb at (0.000, 0.000, 0.500) and W at (0.000, 0.500, 0.215).

AcHoNiOs: relaxed, PBE-GGA.

As for the formation energy: -51 meV/atom.

It has space group F-43m (No. 216), with a = 7.068 Å, b = 7.068 Å, c = 7.068 Å, α = 90.00°, β = 90.00° and γ = 90.00°. The inequivalent atoms are Ac at (0.000, 0.000, 0.000), Ho at (0.000, 0.000, 0.500), Ni at (0.250, 0.250, 0.250) and Os at (0.250, 0.250, 0.750).

SrSiSb3: relaxed, PBE-GGA.

The calculation puts the formation energy from raw total energies at 1.24 eV/atom.

It has space group Pm-3m (No. 221), with a = 5.921 Å, b = 5.921 Å, c = 5.921 Å, α = 90.00°, β = 90.00° and γ = 90.00°. The inequivalent atoms are Sr at (0.000, 0.000, 0.000), Si at (0.500, 0.500, 0.500) and Sb at (0.000, 0.000, 0.500).

Cr2Tc2Ag: relaxed, PBE-GGA.

As for the formation energy: 344 meV/atom.

It has space group P4/mbm (No. 127), with a = 7.177 Å, b = 7.177 Å, c = 2.796 Å, α = 90.00°, β = 90.00° and γ = 90.00°. The inequivalent atoms are Cr at (0.139, 0.361, 0.000), Tc at (0.156, 0.656, 0.500) and Ag at (0.000, 0.000, 0.000).

Sb2TeRuSe: relaxed, PBE-GGA.

The calculation puts the formation energy from raw total energies at 0.43 eV/atom.

It has space group P4/mmm (No. 123), with a = 5.155 Å, b = 5.155 Å, c = 5.104 Å, α = 90.00°, β = 90.00° and γ = 90.00°. The inequivalent atoms are Sb at (0.000, 0.500, 0.000), Te at (0.000, 0.000, 0.500), Ru at (0.000, 0.000, 0.000) and Se at (0.500, 0.500, 0.500).

Computed magnetization, in the same sequence as the records: 0.001 0.000 0.000 0.000 0.000 0.000 μB/atom.
Computed density, in the same sequence as the records: 5.028 15.197 12.054 3.847 9.408 6.747 g/cm³.